1.
# KPrFe4O12

A geometry-optimized KPrFe4O12 structure (GGA+U, the Alexandria database).

## Properties
As for the volume: 12.6 Å³/atom. The energy comes out at -107.1 eV for the cell shown.

Geometry as POSCAR:
```
KPrFe4O12
1.0
3.8388 -3.8392 0.0000
3.8388 3.8392 0.0000
0.0000 0.0000 7.7046
K Pr Fe O
1 1 4 12
Direct
0.9999 0.9999 0.0000 K
0.5000 0.5000 0.5000 Pr
0.9999 0.4999 0.7545 Fe
0.9999 0.4999 0.2455 Fe
0.4999 0.9999 0.2455 Fe
0.4999 0.9999 0.7545 Fe
0.2592 0.7406 0.7366 O
0.7406 0.2592 0.7366 O
0.7406 0.2592 0.2634 O
0.2592 0.7406 0.2634 O
0.7405 0.7405 0.7369 O
0.2594 0.2594 0.7363 O
0.2594 0.2594 0.2637 O
0.7405 0.7405 0.2631 O
0.0002 0.4998 0.0000 O
0.9994 0.5002 0.5000 O
0.4998 0.0002 0.0000 O
0.5002 0.9994 0.5000 O
```

***

2.
# KPrYFeO6

A geometry-optimized KPrYFeO6 structure (GGA+U, the Alexandria database).

## Properties
As for the volume: 13.3 Å³/atom. The energy comes out at -68.7 eV for the cell shown.

Geometry as POSCAR:
```
KPrYFeO6
1.0
2.0688 -2.2028 4.8690
-3.5904 -1.6681 4.1432
-0.6725 -5.5766 1.1351
K Pr Y Fe O
1 1 1 1 6
Direct
0.2500 0.2500 0.2500 K
0.7500 0.7500 0.7500 Pr
0.5000 0.5000 0.5000 Y
0.0000 0.0000 0.0000 Fe
0.2307 0.7693 0.2307 O
0.7693 0.2307 0.7693 O
0.2307 0.7693 0.7693 O
0.7693 0.2307 0.2307 O
0.2307 0.2307 0.7693 O
0.7693 0.7693 0.2307 O
```

***

3.
# K2FePtO4

A geometry-optimized K2FePtO4 structure (GGA+U, the Alexandria database).

## Properties
As for the volume: 23.0 Å³/atom. The energy comes out at -84.0 eV for the cell shown.

Geometry as POSCAR:
```
K2FePtO4
1.0
-0.3580 2.8013 5.0468
-5.8831 -1.9137 3.9585
4.8313 -5.4272 6.6688
K Fe Pt O
4 2 2 8
Direct
0.1727 0.0000 0.6546 K
0.8273 0.0000 0.3454 K
0.5773 0.5000 0.8454 K
0.9227 0.5000 0.1546 K
0.7500 0.5000 0.5000 Fe
0.0000 0.0000 0.0000 Fe
0.2500 0.5000 0.5000 Pt
0.5000 0.0000 0.0000 Pt
0.3263 0.8112 0.0014 O
0.1389 0.1888 0.9986 O
0.8625 0.8112 0.9986 O
0.6723 0.1888 0.0014 O
0.4237 0.6888 0.4986 O
0.6111 0.3112 0.5014 O
0.8875 0.6888 0.5014 O
0.0777 0.3112 0.4986 O
```